Record 1
First-principles (PBE-GGA) data for an optimized crystal structure of HfPa6Te12, as listed in the Alexandria database.

a = 8.755 Å, b = 8.755 Å, c = 8.755 Å
α = 99.79°, β = 99.79°, γ = 99.79°
Each line ends with the local moment (μB).
Fractional positions:
Hf1 0.000 0.000 0.000  0.25
Pa1 0.694 0.869 0.354  1.38
Pa2 0.646 0.306 0.131  1.38
Pa3 0.131 0.646 0.306  1.38
Pa4 0.306 0.131 0.646  1.38
Pa5 0.354 0.694 0.869  1.38
Pa6 0.869 0.354 0.694  1.38
Te1 0.821 0.577 0.439  -0.05
Te2 0.439 0.821 0.577  -0.05
Te3 0.577 0.439 0.821  -0.05
Te4 0.179 0.423 0.561  -0.05
Te5 0.561 0.179 0.423  -0.05
Te6 0.423 0.561 0.179  -0.05
Te7 0.067 0.985 0.325  -0.04
Te8 0.015 0.675 0.933  -0.04
Te9 0.675 0.933 0.015  -0.04
Te10 0.933 0.015 0.675  -0.04
Te11 0.985 0.325 0.067  -0.04
Te12 0.325 0.067 0.985  -0.04

Raw formation energy, eV per formula unit: -12.96
Crystal system: trigonal

Record 2
First-principles (PBE-GGA) data for an optimized crystal structure of Hf2PaTe4, as listed in the Alexandria database.

a = 8.043 Å, b = 8.043 Å, c = 8.076 Å
α = 102.96°, β = 102.96°, γ = 124.54°
Each line ends with the local moment (μB).
Fractional positions:
Hf1 0.474 0.212 0.504  0.06
Hf2 0.763 0.008 0.020  0.02
Hf3 0.008 0.763 0.520  0.02
Hf4 0.212 0.474 0.004  0.06
Pa1 0.344 0.605 0.486  0.57
Pa2 0.605 0.344 0.986  0.57
Te1 0.746 0.149 0.727  -0.01
Te2 0.149 0.746 0.227  -0.01
Te3 0.293 0.795 0.841  -0.01
Te4 0.795 0.293 0.341  -0.01
Te5 0.202 0.228 0.669  -0.01
Te6 0.683 0.762 0.254  -0.01
Te7 0.762 0.683 0.754  -0.01
Te8 0.228 0.202 0.169  -0.01

Raw formation energy, eV per formula unit: -4.76
Crystal system: monoclinic

Record 3
First-principles (PBE-GGA) data for an optimized crystal structure of HfPa2Te4, as listed in the Alexandria database.

a = 3.996 Å, b = 7.087 Å, c = 8.373 Å
α = 113.96°, β = 103.80°, γ = 90.00°
Each line ends with the local moment (μB).
Fractional positions:
Hf1 0.000 0.000 0.000  0.07
Pa1 0.754 0.760 0.507  1.06
Pa2 0.246 0.240 0.493  1.06
Te1 0.889 0.225 0.778  -0.02
Te2 0.111 0.775 0.222  -0.02
Te3 0.609 0.296 0.218  -0.02
Te4 0.391 0.704 0.782  -0.02

Raw formation energy, eV per formula unit: -4.94
Offset from the most stable computed form, meV per atom: 0
Crystal system: monoclinic

Record 4
First-principles (PBE-GGA) data for an optimized crystal structure of HfPa2Te, as listed in the Alexandria database.

a = 4.778 Å, b = 4.434 Å, c = 4.434 Å
α = 90.00°, β = 90.00°, γ = 90.00°
Fractional positions:
Te1 0.500 0.500 0.500
Pa1 0.000 0.000 0.500
Pa2 0.000 0.500 0.000
Hf1 0.500 0.000 0.000

Raw formation energy, eV per formula unit: -0.71
Offset from the most stable computed form, meV per atom: 0
Crystal system: tetragonal

Record 5
First-principles (PBE-GGA) data for an optimized crystal structure of HfPaTe4, as listed in the Alexandria database.

a = 5.956 Å, b = 9.221 Å, c = 9.199 Å
α = 106.07°, β = 90.00°, γ = 108.84°
Each line ends with the local moment (μB).
Fractional positions:
Hf1 0.109 0.219 0.672  0.06
Hf2 0.891 0.781 0.328  0.06
Pa1 0.222 0.444 0.315  0.54
Pa2 0.778 0.556 0.685  0.54
Te1 0.055 0.110 0.340  -0.01
Te2 0.156 0.313 0.989  -0.03
Te3 0.720 0.440 0.325  -0.02
Te4 0.604 0.208 0.670  -0.02
Te5 0.396 0.792 0.330  -0.02
Te6 0.280 0.560 0.675  -0.02
Te7 0.844 0.687 0.011  -0.03
Te8 0.945 0.890 0.660  -0.01

Raw formation energy, eV per formula unit: -3.85
Offset from the most stable computed form, meV per atom: 155
Crystal system: monoclinic

Record 6
First-principles (PBE-GGA) data for an optimized crystal structure of HfPa2Te, as listed in the Alexandria database.

a = 4.011 Å, b = 4.011 Å, c = 6.280 Å
α = 90.00°, β = 90.00°, γ = 90.00°
Fractional positions:
Te1 0.500 0.500 0.000
Pa1 0.000 0.000 0.780
Pa2 0.000 0.000 0.220
Hf1 0.500 0.500 0.500

Raw formation energy, eV per formula unit: -0.40
Offset from the most stable computed form, meV per atom: 77
Crystal system: tetragonal

Record 7
First-principles (PBE-GGA) data for an optimized crystal structure of Hf3PaTe, as listed in the Alexandria database.

a = 3.404 Å, b = 10.803 Å, c = 7.575 Å
α = 61.39°, β = 90.05°, γ = 98.99°
Fractional positions:
Hf1 0.697 0.357 0.901
Hf2 0.974 0.921 0.600
Hf3 0.794 0.555 0.098
Hf4 0.529 0.030 0.204
Hf5 0.887 0.743 0.342
Hf6 0.245 0.458 0.489
Pa1 0.340 0.648 0.718
Pa2 0.150 0.256 0.313
Te1 0.422 0.815 0.984
Te2 0.095 0.158 0.816

Raw formation energy, eV per formula unit: -0.28
Crystal system: triclinic

Record 8
First-principles (PBE-GGA) data for an optimized crystal structure of HfPa2Te5, as listed in the Alexandria database.

a = 6.001 Å, b = 7.282 Å, c = 14.062 Å
α = 90.00°, β = 90.00°, γ = 114.34°
Each line ends with the local moment (μB).
Fractional positions:
Hf1 0.781 0.562 0.750  0.28
Hf2 0.219 0.438 0.250  0.28
Pa1 0.832 0.664 0.442  1.09
Pa2 0.832 0.664 0.058  1.09
Pa3 0.168 0.336 0.558  1.09
Pa4 0.168 0.336 0.942  1.09
Te1 0.951 0.901 0.875  -0.03
Te2 0.951 0.901 0.625  -0.03
Te3 0.353 0.706 0.417  -0.03
Te4 0.353 0.706 0.083  -0.03
Te5 0.717 0.434 0.250  -0.02
Te6 0.283 0.566 0.750  -0.02
Te7 0.647 0.294 0.583  -0.03
Te8 0.647 0.294 0.917  -0.03
Te9 0.049 0.099 0.125  -0.03
Te10 0.049 0.099 0.375  -0.03

Raw formation energy, eV per formula unit: -5.12
Crystal system: orthorhombic

Record 9
First-principles (PBE-GGA) data for an optimized crystal structure of Hf2PaTl2Te6, as listed in the Alexandria database.

a = 7.101 Å, b = 7.101 Å, c = 8.907 Å
α = 97.34°, β = 97.34°, γ = 120.14°
Each line ends with the local moment (μB).
Fractional positions:
Hf1 0.331 0.669 0.500  0.26
Hf2 0.669 0.331 0.500  0.26
Pa1 0.000 0.000 0.500  1.03
Tl1 0.841 0.159 0.000  0.01
Tl2 0.159 0.841 0.000  0.01
Te1 0.716 0.716 0.708  -0.02
Te2 0.069 0.415 0.710  -0.01
Te3 0.284 0.284 0.292  -0.02
Te4 0.415 0.069 0.710  -0.01
Te5 0.931 0.585 0.290  -0.01
Te6 0.585 0.931 0.290  -0.01

Raw formation energy, eV per formula unit: -7.27
Crystal system: monoclinic

Record 10
First-principles (PBE-GGA) data for an optimized crystal structure of Hf2PaTl3Te6, as listed in the Alexandria database.

a = 7.006 Å, b = 7.006 Å, c = 11.369 Å
α = 107.84°, β = 107.84°, γ = 120.13°
Each line ends with the local moment (μB).
Fractional positions:
Hf1 0.333 0.667 0.000  0.10
Hf2 0.667 0.333 0.000  0.10
Pa1 0.000 0.000 0.000  0.52
Tl1 0.166 0.834 0.500  0.00
Tl2 0.834 0.166 0.500  0.00
Tl3 0.500 0.500 0.500  0.00
Te1 0.797 0.452 0.796  -0.01
Te2 0.857 0.857 0.203  -0.01
Te3 0.203 0.548 0.204  -0.01
Te4 0.452 0.797 0.796  -0.01
Te5 0.143 0.143 0.797  -0.01
Te6 0.548 0.203 0.204  -0.01

Raw formation energy, eV per formula unit: -7.41
Crystal system: monoclinic

Record 11
First-principles (PBE-GGA) data for an optimized crystal structure of HfThPa2, as listed in the Alexandria database.

a = 3.284 Å, b = 3.284 Å, c = 9.702 Å
α = 90.00°, β = 90.00°, γ = 90.00°
Fractional positions:
Pa1 0.000 0.000 0.761
Pa2 0.000 0.000 0.239
Hf1 0.500 0.500 0.000
Th1 0.500 0.500 0.500

Offset from the most stable computed form, meV per atom: 0
Crystal system: tetragonal

Record 12
First-principles (PBE-GGA) data for an optimized crystal structure of HfThPa2, as listed in the Alexandria database.

a = 5.274 Å, b = 5.274 Å, c = 5.274 Å
α = 60.00°, β = 60.00°, γ = 60.00°
Fractional positions:
Pa1 0.250 0.250 0.250
Pa2 0.750 0.750 0.750
Hf1 0.000 0.000 0.000
Th1 0.500 0.500 0.500

Offset from the most stable computed form, meV per atom: 213
Crystal system: cubic

Record 13
First-principles (PBE-GGA) data for an optimized crystal structure of HfThPa2, as listed in the Alexandria database.

a = 4.869 Å, b = 4.636 Å, c = 4.636 Å
α = 90.00°, β = 90.00°, γ = 90.00°
Fractional positions:
Pa1 0.000 0.000 0.500
Pa2 0.000 0.500 0.000
Hf1 0.500 0.000 0.000
Th1 0.500 0.500 0.500

Offset from the most stable computed form, meV per atom: 26
Crystal system: tetragonal

Record 14
First-principles (PBE-GGA) data for an optimized crystal structure of HfPaTi2, as listed in the Alexandria database.

a = 4.847 Å, b = 4.847 Å, c = 4.847 Å
α = 60.00°, β = 60.00°, γ = 60.00°
Fractional positions:
Pa1 0.000 0.000 0.000
Hf1 0.500 0.500 0.500
Ti1 0.250 0.250 0.250
Ti2 0.750 0.750 0.750

Offset from the most stable computed form, meV per atom: 0
Crystal system: cubic

Record 15
First-principles (PBE-GGA) data for an optimized crystal structure of HfPaTi2, as listed in the Alexandria database.

a = 3.070 Å, b = 3.070 Å, c = 10.322 Å
α = 81.45°, β = 81.45°, γ = 60.00°
Fractional positions:
Pa1 0.500 0.500 0.500
Hf1 0.000 0.000 0.000
Ti1 0.253 0.253 0.241
Ti2 0.747 0.747 0.759

Offset from the most stable computed form, meV per atom: 100
Crystal system: trigonal

Record 16
First-principles (PBE-GGA) data for an optimized crystal structure of HfPa14Ti, as listed in the Alexandria database.

a = 6.377 Å, b = 6.377 Å, c = 10.974 Å
α = 90.00°, β = 90.00°, γ = 120.15°
Fractional positions:
Hf1 0.625 0.375 0.500
Pa1 0.125 0.875 0.000
Pa2 0.625 0.375 0.000
Pa3 0.125 0.375 0.500
Pa4 0.125 0.375 0.000
Pa5 0.625 0.875 0.500
Pa6 0.625 0.875 0.000
Pa7 0.372 0.122 0.748
Pa8 0.372 0.122 0.252
Pa9 0.878 0.628 0.748
Pa10 0.878 0.628 0.252
Pa11 0.375 0.625 0.744
Pa12 0.375 0.625 0.256
Pa13 0.875 0.125 0.744
Pa14 0.875 0.125 0.256
Ti1 0.125 0.875 0.500

Raw total energy, eV/atom: -9.3820
Crystal system: orthorhombic

Record 17
First-principles (PBE-GGA) data for an optimized crystal structure of HfPaTi, as listed in the Alexandria database.

a = 3.031 Å, b = 7.661 Å, c = 5.700 Å
α = 90.00°, β = 90.00°, γ = 90.00°
Fractional positions:
Pa1 0.500 0.198 0.250
Pa2 0.500 0.802 0.750
Hf1 0.000 0.156 0.750
Hf2 0.000 0.844 0.250
Ti1 0.000 0.500 0.500
Ti2 0.000 0.500 0.000

Offset from the most stable computed form, meV per atom: 215
Crystal system: orthorhombic

Record 18
First-principles (PBE-GGA) data for an optimized crystal structure of HfPaTi, as listed in the Alexandria database.

a = 3.036 Å, b = 4.922 Å, c = 4.922 Å
α = 120.00°, β = 90.00°, γ = 90.00°
Fractional positions:
Pa1 0.501 0.667 0.333
Hf1 0.000 0.000 0.000
Ti1 0.499 0.333 0.667

Offset from the most stable computed form, meV per atom: 6
Crystal system: hexagonal

Record 19
First-principles (PBE-GGA) data for an optimized crystal structure of HfPaTi2, as listed in the Alexandria database.

a = 3.373 Å, b = 3.373 Å, c = 7.064 Å
α = 90.00°, β = 90.00°, γ = 90.00°
Fractional positions:
Pa1 0.500 0.500 0.500
Hf1 0.500 0.500 0.000
Ti1 0.000 0.000 0.733
Ti2 0.000 0.000 0.267

Offset from the most stable computed form, meV per atom: 39
Crystal system: tetragonal

Record 20
First-principles (PBE-GGA) data for an optimized crystal structure of HfPaTi4, as listed in the Alexandria database.

a = 5.452 Å, b = 5.452 Å, c = 5.452 Å
α = 60.00°, β = 60.00°, γ = 60.00°
Each line ends with the local moment (μB).
Fractional positions:
Pa1 0.250 0.250 0.250  0.02
Hf1 0.000 0.000 0.000  -0.01
Ti1 0.625 0.625 0.126  0.17
Ti2 0.625 0.126 0.625  0.17
Ti3 0.625 0.625 0.625  0.17
Ti4 0.126 0.625 0.625  0.17

Raw total energy, eV/atom: -8.3609
Crystal system: cubic